An optimized crystal structure of PmTl2V2O6, computed with PBE+U.

abc: 6.2720 6.2720 18.0560
angles: 90.00 90.00 120.00
Space group R-3m (No. 166, hexagonal axes)
Asymmetric unit:
1 Pm 0.0000 0.0000 0.0000 x3
2 Tl 0.0000 0.0000 0.2164 x6
3 V 0.0000 0.0000 0.4184 x6
4 O 0.0106 0.5053 0.2544 x18

The uncorrected energy is -6.7173 eV/atom.